Entry 1:
The following is a GGA-PBE calculation of a relaxed structure of TiCu3Br, from Alexandria via LeMat-Bulk.

- space-group type = Pm-3m, No. 221
- offset from the most stable computed form (eV per formula unit) = 0.00

POSCAR file:
```
TiCu3Br
1.0
-4.2919 0.2700 1.7095
1.6618 -0.6339 4.2722
0.4834 4.5761 0.4909
Cu Br Ti
3 1 1
Direct
0.0000 0.5000 0.0000
0.0000 0.0000 0.5000
0.5000 0.0000 0.0000
0.0000 0.0000 0.0000
0.5000 0.5000 0.5000
```



Entry 2:
The following is a GGA-PBE calculation of a relaxed structure of Na3PaNi2Se6, from Alexandria via LeMat-Bulk.

- space-group type = C2/m, No. 12

POSCAR file:
```
Na3PaNi2Se6
1.0
-6.0518 1.9717 -1.7057
3.8698 -2.9269 -4.4586
-1.8608 -5.9958 3.9629
Na Pa Ni Se
3 1 2 6
Direct
0.1608 0.8392 0.5000
0.8392 0.1608 0.5000
0.5000 0.5000 0.5000
0.0000 0.0000 0.0000
0.3324 0.6676 0.0000
0.6676 0.3324 0.0000
0.9303 0.5721 0.7896
0.7112 0.7112 0.2087
0.0697 0.4279 0.2104
0.5721 0.9303 0.7896
0.2888 0.2888 0.7913
0.4279 0.0697 0.2104
```



no.,V (A^3/atom),raw formation energy (eV/f.u.)
1,19.8,5.80
2,22.2,-10.11